Record 1
Below is a crystal of BaIO2 relaxed with PBEsol, with properties calculated at the SCAN level.

Unit cell a=4.976 b=4.976 c=7.930 alpha=108.28 beta=108.28 gamma=90.00
Sites, in units of the cell vectors:
I: 0.750 0.250 0.500
I: 0.500 0.500 0.000
Ba: 0.250 0.750 0.500
Ba: 0.000 0.000 0.000
O: 0.437 0.875 0.250
O: 0.813 0.375 0.250
O: 0.125 0.187 0.750
O: 0.625 0.563 0.750

Computed properties:
final energy = -23.23 eV per atom
total magnetic moment = 0.00 μB/cell
energy above the most stable polymorph in this dataset = 0.0 kJ/mol of atoms
density of states at the Fermi level = 3.1 states/eV/cell
volume = 21.99 Å³ per atom


Record 2
Below is a crystal of BaIO2 relaxed with PBEsol, with properties calculated at the SCAN level.

Unit cell a=4.770 b=4.770 c=4.770 alpha=60.00 beta=60.00 gamma=60.00
Each line ends with the local moment (μB).
Sites, in units of the cell vectors:
I: 0.000 0.000 0.000  0.76
Ba: 0.500 0.500 0.500  0.01
O: 0.250 0.250 0.250  0.86
O: 0.750 0.750 0.750  0.86

Computed properties:
final energy = -23.01 eV per atom
total magnetic moment = 3.02 μB/cell
energy above the most stable polymorph in this dataset = 21.0 kJ/mol of atoms
density of states at the Fermi level = 1.9 states/eV/cell
volume = 19.19 Å³ per atom


Record 3
Below is a crystal of BaPI2O relaxed with PBEsol, with properties calculated at the SCAN level.

Unit cell a=4.396 b=6.658 c=6.658 alpha=90.00 beta=90.00 gamma=90.00
Each line ends with the local moment (μB).
Sites, in units of the cell vectors:
I: 0.000 0.000 0.500  -0.12
I: 0.000 0.500 0.000  -0.12
P: 0.500 0.500 0.500  1.02
Ba: 0.000 0.000 0.000  0.00
O: 0.500 0.000 0.000  0.00

Computed properties:
final energy = -25.97 eV per atom
total magnetic moment = 1.93 μB/cell
density of states at the Fermi level = 5.2 states/eV/cell
volume = 38.97 Å³ per atom


| no. | uncorrected formation energy (eV per atom) |
| --- | --- |
| 1 | -1.0406 |
| 2 | -0.8229 |
| 3 | -0.0389 |